PaCoNiBi | PBE | relaxed

Cell: 4.6904 4.6904 4.6904 Å, 60.00 60.00 60.00°
Sites, in units of the cell vectors:
Pa  0.0000  0.0000  0.0000
Ni  0.7500  0.7500  0.7500
Co  0.2500  0.2500  0.2500
Bi  0.5000  0.5000  0.5000

Output
The calculation puts the formation energy at -0.090 eV/atom. Its symmetry is F-43m (216).